An optimized crystal structure of Li3PrHo2S6. Source: Alexandria, functional PBE.

## Properties
Energy relative to the elements, uncorrected: -175.5 kJ per mole of atoms
SG: C2/m (12)
E_tot: -66.3 eV/cell
Total moment: 0.000 μB/cell

```
12
Lattice="6.8695 -0.0044 0.0051 -3.4369 5.9480 0.0051 -1.1404 -1.9747 6.1873" Properties=species:S:1:pos:R:3 pbc="T T T"
Li -2.2334 3.9363 3.0988
Li 4.5256 0.0327 3.0988
Li 1.1461 1.9845 3.0988
Pr 0.0000 0.0000 0.0000
Ho 0.0020 3.9619 0.0051
Ho 3.4306 1.9817 0.0051
S 3.4800 1.9179 4.6407
S 2.2462 3.8892 1.5751
S -1.1878 2.0510 1.5568
S -0.0780 3.9727 4.6407
S 0.0460 0.0797 4.6224
S 2.3702 -0.0038 1.5568
```